# 1
Material: Yb4Sb6Rh7
Method: DFT, PBE
State: relaxed

Computed properties:
As for the formation energy without anion corrections: -0.806 eV per atom.

Cell lengths 8.7833, 8.7833, 8.7833 Å; angles 90.00, 90.00, 90.00 degrees
Last column: nearest neighbours and their distance in Å.
Space group Im-3m (No. 229)
Asymmetric unit:
Yb  0.2500  0.2500  0.2500 x8  6 Rh 3.11, 6 Sb 3.16
Sb  0.0000  0.0000  0.3175 x12  5 Rh 2.72-2.79
Rh  0.0000  0.0000  0.0000 x2  6 Sb 2.79
Rh  0.0000  0.2500  0.5000 x12  4 Sb 2.72

# 2
Material: Ti2BeIn
Method: DFT, PBE
State: relaxed

Computed properties:
For the total energy, the calculation gives -5.234 eV per atom.

Cell lengths 7.2016, 7.2016, 5.2629 Å; angles 90.00, 90.00, 90.00 degrees
Last column: nearest neighbours and their distance in Å.
Space group I-42d (No. 122)
Asymmetric unit:
Ti  0.2182  0.2500  0.1250 x8  2 Be 2.48, 2 Ti 2.67
Be  0.0000  0.0000  0.0000 x4  4 Ti 2.48, 2 In 2.63
In  0.0000  0.0000  0.5000 x4  2 Be 2.63, 4 Ti 2.79

# 3
Material: Na3Ac2InO6
Method: DFT, PBE
State: relaxed

Computed properties:
As for the formation energy without anion corrections: -2.180 eV per atom.

Cell lengths 6.2300, 11.0356, 6.0121 Å; angles 90.00, 108.11, 90.00 degrees
Last column: nearest neighbours and their distance in Å.
Space group C2/m (No. 12)
Asymmetric unit:
Na  0.0000  0.0000  0.0000 x2  6 O 2.62-2.65
Na  0.0000  0.3633  0.0000 x4  4 O 2.43-2.48
Ac  0.0000  0.1678  0.5000 x4  6 O 2.51-2.55
In  0.0000  0.5000  0.5000 x2  6 O 2.28-2.31
O  0.2171  0.3498  0.7189 x8  1 In 2.28, 1 Na 2.48, 2 Ac 2.51-2.55
O  0.2467  0.5000  0.2820 x4  1 In 2.31, 2 Na 2.43, 2 Ac 2.52

| no. | calculated volume (Å³ per cell) | density of states at the Fermi level (states/eV/f.u.) |
| --- | --- | --- |
| 1 | 677.6 | 67.48 |
| 2 | 273.0 | 4.16 |
| 3 | 392.9 | 0.00 |